Material: TaSiMo
Method: DFT, PBE
State: optimized geometry

Space-group type: No. 107
Formation energy without anion corrections, eV per atom: 0.0039

Cell lengths 6.1977, 6.1977, 6.1977 Å; angles 153.63, 153.63, 37.64 degrees
Last column: nearest neighbours and their distance in Å.
Element x y z (fractional)
Ta1 0.0000 0.0000 0.0000  4 Si 2.73, 4 Ta 2.83, 4 Mo 3.03
Si1 0.3418 0.3418 0.0000  4 Mo 2.65, 4 Ta 2.73, 4 Si 2.83
Mo1 0.6942 0.6942 0.0000  4 Si 2.65, 4 Mo 2.83